Entry 1:
Entry from Alexandria: AcSbPd2 after structural relaxation (PBE).

- Symmetry: R-3m, No. 166

a b c (Å): 5.7945 5.7945 5.7945
angles (deg): 47.41 47.41 47.41
Fractional positions:
Ac: 0.0000 0.0000 0.0000
Sb: 0.5000 0.5000 0.5000
Pd: 0.2090 0.2090 0.2090
Pd: 0.7910 0.7910 0.7910

Entry 2:
Entry from Alexandria: Ac2SbPd4 after structural relaxation (PBE).

- Symmetry: I4/mmm, No. 139

a b c (Å): 8.6114 8.6114 8.6114
angles (deg): 146.50 146.50 48.11
Fractional positions:
Ac: 0.1441 0.1441 0.0000
Ac: 0.8559 0.8559 0.0000
Sb: 0.5000 0.5000 0.0000
Pd: 0.0000 0.5000 0.5000
Pd: 0.3318 0.3318 0.0000
Pd: 0.5000 0.0000 0.5000
Pd: 0.6682 0.6682 0.0000

Entry 3:
Entry from Alexandria: Ac3SbPd8 after structural relaxation (PBE).

- Symmetry: R3m, No. 160
- E above lowest polymorph: 0 meV/atom

a b c (Å): 9.7572 9.7572 9.7572
angles (deg): 34.11 34.11 34.11
Fractional positions:
Ac: 0.0000 0.0000 0.0000
Ac: 0.1352 0.1352 0.1352
Ac: 0.6002 0.6002 0.6002
Sb: 0.4659 0.4659 0.4659
Pd: 0.0445 0.5622 0.5622
Pd: 0.0588 0.0588 0.5699
Pd: 0.0588 0.5699 0.0588
Pd: 0.3093 0.3093 0.3093
Pd: 0.5622 0.0445 0.5622
Pd: 0.5622 0.5622 0.0445
Pd: 0.5699 0.0588 0.0588
Pd: 0.8108 0.8108 0.8108

Entry 4:
Entry from Alexandria: AcSb2Pd after structural relaxation (PBE).

- Symmetry: P4/nmm, No. 129
- E above lowest polymorph: 0 meV/atom

a b c (Å): 4.6382 4.6382 10.4121
angles (deg): 90.00 90.00 90.00
Fractional positions:
Ac: 0.2500 0.2500 0.2472
Ac: 0.7500 0.7500 0.7528
Sb: 0.2500 0.2500 0.8634
Sb: 0.2500 0.7500 0.5000
Sb: 0.7500 0.2500 0.5000
Sb: 0.7500 0.7500 0.1366
Pd: 0.2500 0.7500 0.0000
Pd: 0.7500 0.2500 0.0000

Entry 5:
Entry from Alexandria: Ac2SbPd2 after structural relaxation (PBE).

- Symmetry: P4/mbm, No. 127

a b c (Å): 7.9494 7.9494 4.2973
angles (deg): 90.00 90.00 90.00
Fractional positions:
Ac: 0.1809 0.3191 0.0000
Ac: 0.3191 0.8191 0.0000
Ac: 0.6809 0.1809 0.0000
Ac: 0.8191 0.6809 0.0000
Sb: 0.0000 0.0000 0.5000
Sb: 0.5000 0.5000 0.5000
Pd: 0.1237 0.6237 0.5000
Pd: 0.3763 0.1237 0.5000
Pd: 0.6237 0.8763 0.5000
Pd: 0.8763 0.3763 0.5000

Entry 6:
Entry from Alexandria: Ac4Sb2Pd after structural relaxation (PBE).

- Symmetry: I4/mmm, No. 139

a b c (Å): 9.7531 9.7531 9.7531
angles (deg): 146.88 146.88 47.55
Fractional positions:
Ac: 0.0000 0.5000 0.5000
Ac: 0.1786 0.1786 0.0000
Ac: 0.5000 0.0000 0.5000
Ac: 0.8214 0.8214 0.0000
Sb: 0.3667 0.3667 0.0000
Sb: 0.6333 0.6333 0.0000
Pd: 0.0000 0.0000 0.0000

Entry 7:
Entry from Alexandria: Ac3Sb3Pd2 after structural relaxation (PBE).

- Symmetry: Cmcm, No. 63

a b c (Å): 6.4785 6.4785 16.3916
angles (deg): 90.00 90.00 137.79
Fractional positions:
Ac: 0.0794 0.9206 0.6030
Ac: 0.0794 0.9206 0.8970
Ac: 0.3540 0.6460 0.7500
Ac: 0.6460 0.3540 0.2500
Ac: 0.9206 0.0794 0.1030
Ac: 0.9206 0.0794 0.3970
Sb: 0.3564 0.6436 0.2500
Sb: 0.3663 0.6337 0.5474
Sb: 0.3663 0.6337 0.9526
Sb: 0.6337 0.3663 0.0474
Sb: 0.6337 0.3663 0.4526
Sb: 0.6436 0.3564 0.7500
Pd: 0.2256 0.7744 0.1063
Pd: 0.2256 0.7744 0.3937
Pd: 0.7744 0.2256 0.6063
Pd: 0.7744 0.2256 0.8937

Entry 8:
Entry from Alexandria: Ac3Sb4Pd2 after structural relaxation (PBE).

- Symmetry: C2/m, No. 12
- E above lowest polymorph: 0 meV/atom

a b c (Å): 6.5963 6.5963 9.3423
angles (deg): 104.91 104.91 43.26
Fractional positions:
Ac: 0.0000 0.0000 0.0000
Ac: 0.3407 0.3407 0.3212
Ac: 0.6593 0.6593 0.6788
Sb: 0.0738 0.0738 0.3956
Sb: 0.2960 0.2960 0.9174
Sb: 0.7040 0.7040 0.0826
Sb: 0.9262 0.9262 0.6044
Pd: 0.4073 0.4073 0.7050
Pd: 0.5927 0.5927 0.2950

Entry 9:
Entry from Alexandria: Ac3Sb3Pd8 after structural relaxation (PBE).

- Symmetry: C2/m, No. 12

a b c (Å): 8.8091 8.8091 9.6792
angles (deg): 122.88 122.88 30.21
Fractional positions:
Ac: 0.0000 0.0000 0.0000
Ac: 0.2955 0.2955 0.3388
Ac: 0.7045 0.7045 0.6612
Sb: 0.0000 0.0000 0.5000
Sb: 0.3317 0.3317 0.9900
Sb: 0.6683 0.6683 0.0100
Pd: 0.1123 0.1123 0.3827
Pd: 0.1342 0.1342 0.8394
Pd: 0.3565 0.3565 0.7409
Pd: 0.4949 0.4949 0.3200
Pd: 0.5051 0.5051 0.6800
Pd: 0.6435 0.6435 0.2591
Pd: 0.8658 0.8658 0.1606
Pd: 0.8877 0.8877 0.6173

Entry 10:
Entry from Alexandria: AcSb3Pd3 after structural relaxation (PBE).

- Symmetry: Pm-3n, No. 223
- E above lowest polymorph: 98 meV/atom

a b c (Å): 7.2839 7.2839 7.2839
angles (deg): 90.00 90.00 90.00
Fractional positions:
Ac: 0.0000 0.0000 0.0000
Ac: 0.5000 0.5000 0.5000
Sb: 0.0000 0.2500 0.5000
Sb: 0.0000 0.7500 0.5000
Sb: 0.2500 0.5000 0.0000
Sb: 0.5000 0.0000 0.2500
Sb: 0.5000 0.0000 0.7500
Sb: 0.7500 0.5000 0.0000
Pd: 0.0000 0.5000 0.2500
Pd: 0.0000 0.5000 0.7500
Pd: 0.2500 0.0000 0.5000
Pd: 0.5000 0.2500 0.0000
Pd: 0.5000 0.7500 0.0000
Pd: 0.7500 0.0000 0.5000

The evaluated formation energy from raw total energies for the records listed, in turn: -0.8543, -0.4810, -0.7213, -0.8469, -0.9411, -0.6499, -1.0047, -0.9342, -0.8075, -0.4300 eV per atom.